# ZnReAu2 (PBEsol, optimized geometry)
# Density of states at the Fermi level   0.66 states/eV/atom
# M_tot   0.0 μB per formula unit
# Uncorrected energy   -5.4012 eV/atom
data_ZnReAu2
_space_group_name_H-M_alt 'C 1 m 1'
_space_group_IT_number 8
_cell_length_a 9.340
_cell_length_b 2.690
_cell_length_c 5.023
_cell_angle_alpha 90.00
_cell_angle_beta 101.08
_cell_angle_gamma 90.00
loop_
_space_group_symop_operation_xyz
'x,y,z'
'x,-y,z'
'x+1/2,y+1/2,z'
'x+1/2,-y+1/2,z'
loop_
_atom_site_label
_atom_site_fract_x
_atom_site_fract_y
_atom_site_fract_z
_atom_site_occupancy
Zn1 0.000 0.000 0.000 1
Re1 0.237 0.500 0.246 1
Au1 0.256 0.000 0.759 1
Au2 0.492 0.000 0.479 1



# ZnReAu2 (PBEsol, optimized geometry)
# Density of states at the Fermi level   0.72 states/eV/atom
# M_tot   0.0 μB per formula unit
# Uncorrected energy   -5.3546 eV/atom
data_ZnReAu2
_space_group_name_H-M_alt 'P 1 2/m 1'
_space_group_IT_number 10
_cell_length_a 2.706
_cell_length_b 4.059
_cell_length_c 5.630
_cell_angle_alpha 90.00
_cell_angle_beta 90.40
_cell_angle_gamma 90.00
loop_
_space_group_symop_operation_xyz
'x,y,z'
'-x,-y,-z'
'-x,y,-z'
'x,-y,z'
loop_
_atom_site_label
_atom_site_fract_x
_atom_site_fract_y
_atom_site_fract_z
_atom_site_occupancy
Zn1 0.000 0.000 0.000 1
Re1 0.000 0.000 0.500 1
Au1 0.497 0.500 0.251 1



# Zn2ReAu (PBEsol, optimized geometry)
# Energy above the most stable polymorph in this dataset   103 meV/atom
# Density of states at the Fermi level   0.44 states/eV/atom
# M_tot   0.0 μB per formula unit
# Uncorrected energy   -4.9065 eV/atom
data_Zn2ReAu
_space_group_name_H-M_alt 'P 1 2/m 1'
_space_group_IT_number 10
_cell_length_a 2.661
_cell_length_b 4.253
_cell_length_c 5.245
_cell_angle_alpha 90.00
_cell_angle_beta 90.28
_cell_angle_gamma 90.00
loop_
_space_group_symop_operation_xyz
'x,y,z'
'-x,-y,-z'
'-x,y,-z'
'x,-y,z'
loop_
_atom_site_label
_atom_site_fract_x
_atom_site_fract_y
_atom_site_fract_z
_atom_site_occupancy
Zn1 0.012 0.000 0.227 1
Re1 0.500 0.500 0.000 1
Au1 0.000 0.500 0.500 1



# ZrRe2Au (PBEsol, optimized geometry)
# Energy above the most stable polymorph in this dataset   0 meV/atom
# Density of states at the Fermi level   0.71 states/eV/atom
# M_tot   0.0 μB per formula unit
# Uncorrected energy   -9.9831 eV/atom
data_ZrRe2Au
_space_group_name_H-M_alt 'P 4 m m'
_space_group_IT_number 99
_cell_length_a 3.020
_cell_length_b 3.020
_cell_length_c 7.409
_cell_angle_alpha 90.00
_cell_angle_beta 90.00
_cell_angle_gamma 90.00
loop_
_space_group_symop_operation_xyz
'x,y,z'
'-y,x,z'
'-x,-y,z'
'y,-x,z'
'-x,y,z'
'y,x,z'
'x,-y,z'
'-y,-x,z'
loop_
_atom_site_label
_atom_site_fract_x
_atom_site_fract_y
_atom_site_fract_z
_atom_site_occupancy
Zr1 0.000 0.000 0.000 1
Re1 0.000 0.000 0.539 1
Re2 0.500 0.500 0.731 1
Au1 0.500 0.500 0.275 1



# ZrRe2Au (PBEsol, optimized geometry)
# Energy above the most stable polymorph in this dataset   286 meV/atom
# Density of states at the Fermi level   0.95 states/eV/atom
# M_tot   0.0 μB per formula unit
# Uncorrected energy   -9.6969 eV/atom
data_ZrRe2Au
_space_group_name_H-M_alt 'I m m m'
_space_group_IT_number 71
_space_group_name_Hall '-I 2 2'
_cell_length_a 3.320
_cell_length_b 4.399
_cell_length_c 9.106
_cell_angle_alpha 90.00
_cell_angle_beta 90.00
_cell_angle_gamma 90.00
loop_
_atom_site_label
_atom_site_fract_x
_atom_site_fract_y
_atom_site_fract_z
_atom_site_occupancy
Zr1 0.000 0.000 0.000 1
Re1 0.000 0.500 0.256 1
Au1 0.000 0.000 0.500 1



# ZrReAu3 (PBEsol, optimized geometry)
# Density of states at the Fermi level   0.82 states/eV/atom
# M_tot   4.7 μB per formula unit
# Uncorrected energy   -4.9424 eV/atom
data_ZrReAu3
_space_group_name_H-M_alt 'P m -3 m'
_space_group_IT_number 221
_space_group_name_Hall '-P 4 2 3'
_cell_length_a 5.046
_cell_length_b 5.046
_cell_length_c 5.046
_cell_angle_alpha 90.00
_cell_angle_beta 90.00
_cell_angle_gamma 90.00
loop_
_atom_site_label
_atom_site_fract_x
_atom_site_fract_y
_atom_site_fract_z
_atom_site_occupancy
Zr1 0.000 0.000 0.000 1
Re1 0.500 0.500 0.500 1
Au1 0.000 0.000 0.500 1



# RhAu5 (PBEsol, optimized geometry)
# Energy above the most stable polymorph in this dataset   4 meV/atom
# Density of states at the Fermi level   0.67 states/eV/atom
# M_tot   0.0 μB per formula unit
# Uncorrected energy   -4.5247 eV/atom
data_RhAu5
_space_group_name_H-M_alt 'A m m 2'
_space_group_IT_number 38
_cell_length_a 4.746
_cell_length_b 2.799
_cell_length_c 14.770
_cell_angle_alpha 90.00
_cell_angle_beta 90.00
_cell_angle_gamma 90.00
loop_
_space_group_symop_operation_xyz
'x,y,z'
'-x,-y,z'
'-x,y,z'
'x,-y,z'
'x,y+1/2,z+1/2'
'-x,-y+1/2,z+1/2'
'-x,y+1/2,z+1/2'
'x,-y+1/2,z+1/2'
loop_
_atom_site_label
_atom_site_fract_x
_atom_site_fract_y
_atom_site_fract_z
_atom_site_occupancy
Rh1 0.000 0.000 0.000 1
Au1 0.000 0.000 0.335 1
Au2 0.000 0.000 0.662 1
Au3 0.500 0.000 0.222 1
Au4 0.500 0.000 0.552 1
Au5 0.500 0.000 0.889 1



# RhAu8 (PBEsol, optimized geometry)
# Density of states at the Fermi level   0.57 states/eV/atom
# M_tot   0.0 μB per formula unit
# Uncorrected energy   -4.3335 eV/atom
data_RhAu8
_space_group_name_H-M_alt 'I 4/m m m'
_space_group_IT_number 139
_space_group_name_Hall '-I 4 2'
_cell_length_a 8.512
_cell_length_b 8.512
_cell_length_c 4.098
_cell_angle_alpha 90.00
_cell_angle_beta 90.00
_cell_angle_gamma 90.00
loop_
_atom_site_label
_atom_site_fract_x
_atom_site_fract_y
_atom_site_fract_z
_atom_site_occupancy
Rh1 0.000 0.000 0.000 1
Au1 0.000 0.331 0.000 1
Au2 0.164 0.164 0.500 1



# Rh2Au (PBEsol, optimized geometry)
# Energy above the most stable polymorph in this dataset   0 meV/atom
# Density of states at the Fermi level   1.49 states/eV/atom
# M_tot   0.0 μB per formula unit
# Uncorrected energy   -6.6033 eV/atom
data_Rh2Au
_space_group_name_H-M_alt 'I 4/m m m'
_space_group_IT_number 139
_space_group_name_Hall '-I 4 2'
_cell_length_a 2.743
_cell_length_b 2.743
_cell_length_c 11.676
_cell_angle_alpha 90.00
_cell_angle_beta 90.00
_cell_angle_gamma 90.00
loop_
_atom_site_label
_atom_site_fract_x
_atom_site_fract_y
_atom_site_fract_z
_atom_site_occupancy
Rh1 0.000 0.000 0.176 1
Au1 0.000 0.000 0.500 1



# RhAu5 (PBEsol, optimized geometry)
# Energy above the most stable polymorph in this dataset   0 meV/atom
# Density of states at the Fermi level   0.66 states/eV/atom
# M_tot   0.4 μB per formula unit
# Uncorrected energy   -4.5285 eV/atom
data_RhAu5
_space_group_name_H-M_alt 'C 1 m 1'
_space_group_IT_number 8
_cell_length_a 10.723
_cell_length_b 2.801
_cell_length_c 6.827
_cell_angle_alpha 90.00
_cell_angle_beta 106.82
_cell_angle_gamma 90.00
loop_
_space_group_symop_operation_xyz
'x,y,z'
'x,-y,z'
'x+1/2,y+1/2,z'
'x+1/2,-y+1/2,z'
loop_
_atom_site_label
_atom_site_fract_x
_atom_site_fract_y
_atom_site_fract_z
_atom_site_occupancy
Rh1 0.000 0.000 0.000 1
Au1 0.109 0.500 0.732 1
Au2 0.164 0.500 0.327 1
Au3 0.283 0.000 0.057 1
Au4 0.334 0.000 0.671 1
Au5 0.446 0.500 0.390 1



# RhAu3 (PBEsol, optimized geometry)
# Density of states at the Fermi level   1.05 states/eV/atom
# M_tot   0.3 μB per formula unit
# Uncorrected energy   -4.8179 eV/atom
data_RhAu3
_space_group_name_H-M_alt 'P 4/m m m'
_space_group_IT_number 123
_space_group_name_Hall '-P 4 2'
_cell_length_a 3.249
_cell_length_b 3.249
_cell_length_c 6.115
_cell_angle_alpha 90.00
_cell_angle_beta 90.00
_cell_angle_gamma 90.00
loop_
_atom_site_label
_atom_site_fract_x
_atom_site_fract_y
_atom_site_fract_z
_atom_site_occupancy
Rh1 0.000 0.000 0.000 1
Au1 0.000 0.000 0.500 1
Au2 0.500 0.500 0.240 1



# RhAu2 (PBEsol, optimized geometry)
# Density of states at the Fermi level   1.21 states/eV/atom
# M_tot   0.5 μB per formula unit
# Uncorrected energy   -5.1659 eV/atom
data_RhAu2
_space_group_name_H-M_alt 'I 4/m m m'
_space_group_IT_number 139
_space_group_name_Hall '-I 4 2'
_cell_length_a 2.794
_cell_length_b 2.794
_cell_length_c 12.123
_cell_angle_alpha 90.00
_cell_angle_beta 90.00
_cell_angle_gamma 90.00
loop_
_atom_site_label
_atom_site_fract_x
_atom_site_fract_y
_atom_site_fract_z
_atom_site_occupancy
Rh1 0.000 0.000 0.000 1
Au1 0.000 0.000 0.338 1